Entry from Alexandria: a crystal of Be2ZnW relaxed with PBEsol (SCAN).

Summary:
ΔE_f (eV per atom): 0.260
D(E_F) (states/eV per cell): 2.416
E (eV/atom): -22.718

a b c (Å): 3.3541 3.3541 8.2146
angles (deg): 90.00 90.00 90.00
With the nearest neighbours (Å) after each atom.
Space group I-4m2 (No. 119)
Symmetry-distinct sites (fractional):
Be1 0.0000 0.0000 0.0000 [2 per cell]  4 W 2.37, 4 Be 2.65, 4 Zn 2.65
Be2 0.0000 0.5000 0.2500 [2 per cell]  4 Zn 2.37, 4 W 2.65, 4 Be 2.65
Zn1 0.0000 0.5000 0.7500 [2 per cell]  8 Be 2.37-2.65, 4 W 2.65
W1 0.0000 0.0000 0.5000 [2 per cell]  8 Be 2.37-2.65, 4 Zn 2.65

***

Entry from Alexandria: a crystal of ScSn2RuF relaxed with PBEsol (SCAN).

Summary:
ΔE_f (raw) (eV/atom): -0.331
D(E_F) (states/eV per cell): 4.050
E (eV/atom): -25.220

a b c (Å): 5.1890 5.1890 3.8953
angles (deg): 90.00 90.00 90.00
With the nearest neighbours (Å) after each atom.
Space group P4/mmm (No. 123)
Symmetry-distinct sites (fractional):
Sc1 0.0000 0.0000 0.0000 [1 per cell]  8 Sn 3.24
Sn1 0.0000 0.5000 0.5000 [2 per cell]  2 Ru 2.59
Ru1 0.5000 0.5000 0.5000 [1 per cell]  2 F 1.95
F1 0.5000 0.5000 0.0000 [1 per cell]  2 Ru 1.95

***

Entry from Alexandria: a crystal of Cr3CuTe relaxed with PBEsol (SCAN).

Summary:
ΔE_f (raw) (eV/atom): 0.743
D(E_F) (states/eV per cell): 5.357
E (eV/atom): -20.778

a b c (Å): 4.5303 4.5303 4.5303
angles (deg): 90.00 90.00 90.00
With the nearest neighbours (Å) after each atom.
Space group Pm-3m (No. 221)
Symmetry-distinct sites (fractional):
Cr1 0.0000 0.0000 0.5000 [3 per cell]  2 Cu 2.27
Cu1 0.0000 0.0000 0.0000 [1 per cell]  6 Cr 2.27
Te1 0.5000 0.5000 0.5000 [1 per cell]  12 Cr 3.20

***

> Number 2 is which compound?

ScSn2RuF

***

> Which value of E does entry 3 give?

-20.778 eV/atom